Record 1
The following is a DFT calculation (PBE) of a relaxed K6Au2Se crystal.

a = 9.7122 Å, b = 9.7122 Å, c = 9.7122 Å
α = 146.40°, β = 131.67°, γ = 60.15°
Positions (direct):
K: 0.0814 0.3387 0.7427
K: 0.2360 0.0000 0.2360
K: 0.4040 0.6613 0.7427
K: 0.5960 0.3387 0.2573
K: 0.7640 0.0000 0.7640
K: 0.9186 0.6613 0.2573
Au: 0.3351 0.8351 0.5000
Au: 0.6649 0.1649 0.5000
Se: 0.0000 0.5000 0.5000

SG: No. 71
D(E_F), states/eV per atom: 0.6581
E_form (uncorrected), meV per atom: -475


Record 2
The following is a DFT calculation (PBE) of a relaxed CdGa2Si crystal.

a = 6.6545 Å, b = 6.6545 Å, c = 6.6545 Å
α = 121.88°, β = 121.88°, γ = 86.77°
Positions (direct):
Cd: 0.0000 0.0000 0.0000
Cd: 0.7500 0.2500 0.5000
Ga: 0.1701 0.6250 0.0451
Ga: 0.3750 0.4201 0.5451
Ga: 0.5799 0.1250 0.9549
Ga: 0.8750 0.8299 0.4549
Si: 0.2500 0.7500 0.5000
Si: 0.5000 0.5000 0.0000

SG: No. 122
D(E_F), states/eV per atom: 0.1855
E_form (uncorrected), meV per atom: 297


Record 3
The following is a DFT calculation (PBE) of a relaxed Ce4Pa5 crystal.

a = 8.5389 Å, b = 8.5389 Å, c = 8.5389 Å
α = 92.05°, β = 92.05°, γ = 158.22°
Positions (direct):
Ce: 0.0000 0.3267 0.3267
Ce: 0.0000 0.6733 0.6733
Ce: 0.3267 0.0000 0.3267
Ce: 0.6733 0.0000 0.6733
Pa: 0.0000 0.0000 0.0000
Pa: 0.3329 0.3329 0.6658
Pa: 0.3329 0.6671 0.0000
Pa: 0.6671 0.3329 0.0000
Pa: 0.6671 0.6671 0.3342

SG: No. 139
D(E_F), states/eV per atom: 2.6096
Calculated formation energy, eV per atom: 0.086